Version A
Here is an optimized crystal structure of PaZn4Pt2 from Alexandria via LeMat-Bulk. Energies are from GGA-PBE.

Computed properties:
**Volume**: 122.4 Å³ per cell

a = 3.5148 Å, b = 4.0932 Å, c = 8.7489 Å
α = 103.53°, β = 90.00°, γ = 90.00°
Last column: nearest neighbours and their distance in Å.
Fractional coordinates of all 7 atoms:
Zn 0.5000 0.8219 0.6439  2 Pt 2.65, 6 Zn 2.72-2.77
Zn 0.0000 0.6963 0.3925  2 Pt 2.66, 8 Zn 2.72-2.77
Zn 0.5000 0.1781 0.3561  2 Pt 2.65, 6 Zn 2.72-2.77
Zn 0.0000 0.3037 0.6075  2 Pt 2.66, 8 Zn 2.72-2.77
Pt 0.5000 0.4213 0.8425  4 Zn 2.65-2.66, 1 Pt 2.68
Pt 0.5000 0.5787 0.1575  4 Zn 2.65-2.66, 1 Pt 2.68
Pa 0.0000 0.0000 0.0000  8 Pt 3.01

=====

Version B
Here is an optimized crystal structure of PaZn4Pt2 from Alexandria via LeMat-Bulk. Energies are from GGA-PBE.

Computed properties:
**Volume**: 243.0 Å³ per cell

a = 4.1431 Å, b = 7.6583 Å, c = 7.6583 Å
α = 90.00°, β = 90.00°, γ = 90.00°
Last column: nearest neighbours and their distance in Å.
Fractional coordinates of all 14 atoms:
Zn 0.5000 0.8514 0.3999  3 Pt 2.56-2.62, 6 Zn 2.72-2.84
Zn 0.0000 0.6486 0.8999  3 Pt 2.56-2.62, 6 Zn 2.72-2.84
Zn 0.5000 0.1486 0.6001  3 Pt 2.56-2.62, 6 Zn 2.72-2.84
Zn 0.0000 0.3514 0.1001  3 Pt 2.56-2.62, 6 Zn 2.72-2.84
Zn 0.0000 0.8999 0.6486  3 Pt 2.56-2.62, 6 Zn 2.72-2.84
Zn 0.0000 0.1001 0.3514  3 Pt 2.56-2.62, 6 Zn 2.72-2.84
Zn 0.5000 0.3999 0.8514  3 Pt 2.56-2.62, 6 Zn 2.72-2.84
Zn 0.5000 0.6001 0.1486  3 Pt 2.56-2.62, 6 Zn 2.72-2.84
Pa 0.0000 0.5000 0.5000  6 Pt 2.95-3.31, 4 Zn 3.27
Pa 0.5000 0.0000 0.0000  6 Pt 2.95-3.31, 4 Zn 3.27
Pt 0.5000 0.3055 0.3055  6 Zn 2.56-2.62
Pt 0.0000 0.1945 0.8055  6 Zn 2.56-2.62
Pt 0.0000 0.8055 0.1945  6 Zn 2.56-2.62
Pt 0.5000 0.6945 0.6945  6 Zn 2.56-2.62

=====

We find version B to be the most stable, with the next structure 0.065 eV/atom higher.

=====

Version A
Here is an optimized crystal structure of Zr2PaPt from Alexandria via LeMat-Bulk. Energies are from GGA-PBE.

Computed properties:
**Volume**: 82.0 Å³ per cell

a = 4.8771 Å, b = 4.8771 Å, c = 4.8771 Å
α = 60.00°, β = 60.00°, γ = 60.00°
Last column: nearest neighbours and their distance in Å.
Fractional coordinates of all 4 atoms:
Pa 0.0000 0.0000 0.0000  8 Zr 2.99
Pt 0.5000 0.5000 0.5000  8 Zr 2.99
Zr 0.2500 0.2500 0.2500  4 Pt 2.99, 4 Pa 2.99
Zr 0.7500 0.7500 0.7500  4 Pa 2.99, 4 Pt 2.99

=====

Version B
Here is an optimized crystal structure of Zr2PaPt from Alexandria via LeMat-Bulk. Energies are from GGA-PBE.

Computed properties:
**Volume**: 82.8 Å³ per cell

a = 3.1897 Å, b = 5.0954 Å, c = 5.0954 Å
α = 90.00°, β = 90.00°, γ = 90.00°
Last column: nearest neighbours and their distance in Å.
Fractional coordinates of all 4 atoms:
Pa 0.5000 0.0000 0.0000  8 Zr 3.01, 2 Pa 3.19
Zr 0.0000 0.5000 0.0000  4 Pt 3.01, 4 Pa 3.01, 2 Zr 3.19
Zr 0.0000 0.0000 0.5000  4 Pt 3.01, 4 Pa 3.01, 2 Zr 3.19
Pt 0.5000 0.5000 0.5000  8 Zr 3.01, 2 Pt 3.19

=====

Version C
Here is an optimized crystal structure of Zr2PaPt from Alexandria via LeMat-Bulk. Energies are from GGA-PBE.

Computed properties:
**Volume**: 87.0 Å³ per cell

a = 3.3835 Å, b = 3.3835 Å, c = 7.5972 Å
α = 90.00°, β = 90.00°, γ = 90.00°
Last column: nearest neighbours and their distance in Å.
Fractional coordinates of all 4 atoms:
Zr 0.0000 0.0000 0.2171  4 Pt 2.91, 4 Pa 3.22
Zr 0.0000 0.0000 0.7829  4 Pt 2.91, 4 Pa 3.22
Pt 0.5000 0.5000 0.0000  8 Zr 2.91
Pa 0.5000 0.5000 0.5000  8 Zr 3.22, 4 Pa 3.38

=====

We find version C to be the most stable, with the next structure 0.066 eV/atom higher.

=====

Version A
Here is an optimized crystal structure of ZrPaPt from Alexandria via LeMat-Bulk. Energies are from GGA-PBE.

Computed properties:
**Volume**: 63.0 Å³ per cell

a = 3.0960 Å, b = 4.8480 Å, c = 4.8480 Å
α = 120.00°, β = 90.00°, γ = 90.00°
Last column: nearest neighbours and their distance in Å.
Fractional coordinates of all 3 atoms:
Pt 0.2931 0.3333 0.6667  3 Pa 2.90, 3 Zr 3.02, 2 Pt 3.10
Pa 0.0472 0.0000 0.0000  3 Pt 2.90, 3 Zr 3.05, 2 Pa 3.10
Zr 0.6597 0.6667 0.3333  3 Pt 3.02, 6 Pa 3.05-3.38, 2 Zr 3.10

=====

Version B
Here is an optimized crystal structure of ZrPaPt from Alexandria via LeMat-Bulk. Energies are from GGA-PBE.

Computed properties:
**Volume**: 261.7 Å³ per cell

a = 5.5637 Å, b = 5.5480 Å, c = 10.1865 Å
α = 82.13°, β = 74.15°, γ = 59.91°
Last column: nearest neighbours and their distance in Å.
Fractional coordinates of all 12 atoms:
Zr 0.9214 0.1572 0.5000  4 Pt 2.92-2.94, 2 Zr 3.16
Zr 0.5786 0.8428 0.5000  4 Pt 2.92-2.94, 2 Zr 3.16
Zr 0.1714 0.6572 0.0000  4 Pt 2.92-2.94, 2 Zr 3.16
Zr 0.8286 0.3428 0.0000  4 Pt 2.92-2.94, 2 Zr 3.16
Pa 0.4289 0.0000 0.1423  1 Pa 2.79, 4 Pt 2.96-2.98
Pa 0.5711 0.0000 0.8577  1 Pa 2.79, 4 Pt 2.96-2.98
Pa 0.1789 0.5000 0.6423  1 Pa 2.79, 4 Pt 2.96-2.98
Pa 0.3211 0.5000 0.3577  1 Pa 2.79, 4 Pt 2.96-2.98
Pt 0.1234 0.0000 0.7533  2 Pt 2.77, 4 Zr 2.92-2.94, 4 Pa 2.96-2.98
Pt 0.8766 0.0000 0.2467  2 Pt 2.77, 4 Zr 2.92-2.94, 4 Pa 2.96-2.98
Pt 0.6266 0.5000 0.7467  2 Pt 2.77, 4 Zr 2.92-2.94, 4 Pa 2.96-2.98
Pt 0.8734 0.5000 0.2533  2 Pt 2.77, 4 Zr 2.92-2.94, 4 Pa 2.96-2.98

=====

We find version B to be the most stable, with the next structure 0.371 eV/atom higher.

=====

Version A
Here is an optimized crystal structure of Pu2Pa3 from Alexandria via LeMat-Bulk. Energies are from GGA-PBE.

Computed properties:
**Volume**: 218.4 Å³ per cell

a = 6.3659 Å, b = 6.3659 Å, c = 7.2267 Å
α = 63.87°, β = 63.87°, γ = 60.00°
Last column: nearest neighbours and their distance in Å.
Fractional coordinates of all 10 atoms:
Pa 0.6081 0.8919 0.2500  4 Pu 2.59-2.74
Pa 0.8919 0.2500 0.2500  4 Pu 2.59-2.74
Pa 0.2500 0.6081 0.2500  4 Pu 2.59-2.74
Pa 0.3919 0.1081 0.7500  4 Pu 2.59-2.74
Pa 0.1081 0.7500 0.7500  4 Pu 2.59-2.74
Pa 0.7500 0.3919 0.7500  4 Pu 2.59-2.74
Pu 0.3313 0.3313 0.0060  6 Pa 2.59-2.74
Pu 0.6687 0.6687 0.9940  6 Pa 2.59-2.74
Pu 0.8313 0.8313 0.5060  6 Pa 2.59-2.74
Pu 0.1687 0.1687 0.4940  6 Pa 2.59-2.74

=====

Version B
Here is an optimized crystal structure of Pu2Pa3 from Alexandria via LeMat-Bulk. Energies are from GGA-PBE.

Computed properties:
**Volume**: 240.6 Å³ per cell

a = 3.9048 Å, b = 7.8654 Å, c = 8.7211 Å
α = 69.77°, β = 77.06°, γ = 75.63°
Last column: nearest neighbours and their distance in Å.
Fractional coordinates of all 10 atoms:
Pa 0.4544 0.2753 0.8159  3 Pu 2.74-2.89
Pa 0.5456 0.7247 0.1841  3 Pu 2.74-2.89
Pa 0.8479 0.1293 0.1748  2 Pu 2.64
Pa 0.1521 0.8707 0.8252  2 Pu 2.64
Pa 0.1050 0.3270 0.4630  1 Pu 2.65, 1 Pa 2.89
Pa 0.8950 0.6730 0.5370  1 Pu 2.65, 1 Pa 2.89
Pu 0.1840 0.4928 0.1393  3 Pa 2.65-2.74
Pu 0.6773 0.0255 0.6199  3 Pa 2.64-2.89, 2 Pu 2.93
Pu 0.3227 0.9745 0.3801  3 Pa 2.64-2.89, 2 Pu 2.93
Pu 0.8160 0.5072 0.8607  3 Pa 2.65-2.74

=====

We find version B to be the most stable, with the next structure 0.186 eV/atom higher.